#1
Compound: GdBiPb
Source: the Open Quantum Materials Database
Functional: PBE
Structure: relaxed

a = 7.458 Å, b = 7.458 Å, c = 7.458 Å
α = 90.00°, β = 90.00°, γ = 90.00°
Space group F-43m (No. 216)
Symmetry-distinct sites (fractional):
Gd 0.000 0.000 0.000 [4 per cell]
Bi 0.250 0.250 0.750 [4 per cell]
Pb 0.250 0.250 0.250 [4 per cell]

Summary:
Volume   414.7 Å³/cell
Total magnetization   0.0 μB per formula unit
Crystal system   cubic

***

#2
Compound: GdBiPb
Source: the Open Quantum Materials Database
Functional: PBE
Structure: relaxed

a = 7.477 Å, b = 7.477 Å, c = 7.477 Å
α = 90.00°, β = 90.00°, γ = 90.00°
Space group F-43m (No. 216)
Symmetry-distinct sites (fractional):
Gd 0.000 0.000 0.000 [4 per cell]
Bi 0.000 0.000 0.500 [4 per cell]
Pb 0.250 0.250 0.750 [4 per cell]

Summary:
Volume   418.0 Å³/cell
Total magnetization   0.0 μB per formula unit
Crystal system   cubic

***

List of relative energies, unit eV/atom: #1 0.000; #2 0.116

***

#1
Compound: GdTcBi
Source: the Open Quantum Materials Database
Functional: PBE
Structure: relaxed

a = 6.945 Å, b = 6.945 Å, c = 6.945 Å
α = 90.00°, β = 90.00°, γ = 90.00°
Space group F-43m (No. 216)
Symmetry-distinct sites (fractional):
Gd 0.000 0.000 0.000 [4 per cell]
Tc 0.250 0.250 0.250 [4 per cell]
Bi 0.250 0.250 0.750 [4 per cell]

Summary:
Volume   335.0 Å³/cell
Total magnetization   0.6 μB per formula unit
Crystal system   cubic

***

#2
Compound: GdTcBi
Source: the Open Quantum Materials Database
Functional: PBE
Structure: relaxed

a = 6.847 Å, b = 6.847 Å, c = 6.847 Å
α = 90.00°, β = 90.00°, γ = 90.00°
Space group F-43m (No. 216)
Symmetry-distinct sites (fractional):
Gd 0.000 0.000 0.000 [4 per cell]
Tc 0.000 0.000 0.500 [4 per cell]
Bi 0.250 0.250 0.250 [4 per cell]

Summary:
Volume   321.0 Å³/cell
Total magnetization   1.7 μB per formula unit
Crystal system   cubic

***

List of relative energies, unit eV/atom: #1 0.452; #2 0.000

***

#1
Compound: GdTlBi
Source: the Open Quantum Materials Database
Functional: PBE
Structure: relaxed

a = 7.399 Å, b = 7.399 Å, c = 7.399 Å
α = 90.00°, β = 90.00°, γ = 90.00°
Space group F-43m (No. 216)
Symmetry-distinct sites (fractional):
Gd 0.000 0.000 0.000 [4 per cell]
Tl 0.250 0.250 0.750 [4 per cell]
Bi 0.000 0.000 0.500 [4 per cell]

Summary:
Volume   405.1 Å³/cell
Total magnetization   0.0 μB per formula unit
Crystal system   cubic

***

#2
Compound: GdTlBi
Source: the Open Quantum Materials Database
Functional: PBE
Structure: relaxed

a = 7.416 Å, b = 7.416 Å, c = 7.416 Å
α = 90.00°, β = 90.00°, γ = 90.00°
Space group F-43m (No. 216)
Symmetry-distinct sites (fractional):
Gd 0.000 0.000 0.000 [4 per cell]
Tl 0.250 0.250 0.250 [4 per cell]
Bi 0.250 0.250 0.750 [4 per cell]

Summary:
Volume   407.8 Å³/cell
Total magnetization   0.0 μB per formula unit
Crystal system   cubic

***

List of relative energies, unit eV/atom: #1 0.122; #2 0.000

***

#1
Compound: GdBiW
Source: the Open Quantum Materials Database
Functional: PBE
Structure: relaxed

a = 6.856 Å, b = 6.856 Å, c = 6.856 Å
α = 90.00°, β = 90.00°, γ = 90.00°
Space group F-43m (No. 216)
Symmetry-distinct sites (fractional):
Gd 0.000 0.000 0.000 [4 per cell]
Bi 0.250 0.250 0.250 [4 per cell]
W 0.000 0.000 0.500 [4 per cell]

Summary:
Volume   322.3 Å³/cell
Total magnetization   0.2 μB per formula unit
Crystal system   cubic

***

#2
Compound: GdBiW
Source: the Open Quantum Materials Database
Functional: PBE
Structure: relaxed

a = 7.081 Å, b = 7.081 Å, c = 7.081 Å
α = 90.00°, β = 90.00°, γ = 90.00°
Space group F-43m (No. 216)
Symmetry-distinct sites (fractional):
Gd 0.000 0.000 0.000 [4 per cell]
Bi 0.250 0.250 0.750 [4 per cell]
W 0.250 0.250 0.250 [4 per cell]

Summary:
Volume   355.0 Å³/cell
Total magnetization   3.2 μB per formula unit
Crystal system   cubic

***

List of relative energies, unit eV/atom: #1 0.000; #2 0.438

***

#1
Compound: LiGeBiOs
Source: the Open Quantum Materials Database
Functional: PBE
Structure: relaxed

a = 6.599 Å, b = 6.599 Å, c = 6.599 Å
α = 90.00°, β = 90.00°, γ = 90.00°
Space group F-43m (No. 216)
Symmetry-distinct sites (fractional):
Li 0.000 0.000 0.000 [4 per cell]
Ge 0.000 0.000 0.500 [4 per cell]
Bi 0.250 0.250 0.250 [4 per cell]
Os 0.250 0.250 0.750 [4 per cell]

Summary:
Volume   287.3 Å³/cell
Total magnetization   0.0 μB per formula unit
Crystal system   cubic

***

#2
Compound: LiGeBiOs
Source: the Open Quantum Materials Database
Functional: PBE
Structure: relaxed

a = 6.520 Å, b = 6.520 Å, c = 6.520 Å
α = 90.00°, β = 90.00°, γ = 90.00°
Space group F-43m (No. 216)
Symmetry-distinct sites (fractional):
Li 0.000 0.000 0.000 [4 per cell]
Ge 0.250 0.250 0.250 [4 per cell]
Bi 0.250 0.250 0.750 [4 per cell]
Os 0.000 0.000 0.500 [4 per cell]

Summary:
Volume   277.1 Å³/cell
Total magnetization   0.0 μB per formula unit
Crystal system   cubic

***

List of relative energies, unit eV/atom: #1 0.354; #2 0.000

***

#1
Compound: PuGeBi
Source: the Open Quantum Materials Database
Functional: PBE
Structure: relaxed

a = 6.996 Å, b = 6.996 Å, c = 6.996 Å
α = 90.00°, β = 90.00°, γ = 90.00°
Space group F-43m (No. 216)
Symmetry-distinct sites (fractional):
Pu 0.000 0.000 0.000 [4 per cell]
Ge 0.250 0.250 0.250 [4 per cell]
Bi 0.250 0.250 0.750 [4 per cell]

Summary:
Volume   342.4 Å³/cell
Total magnetization   5.3 μB per formula unit
Crystal system   cubic

***

#2
Compound: PuGeBi
Source: the Open Quantum Materials Database
Functional: PBE
Structure: relaxed

a = 7.057 Å, b = 7.057 Å, c = 7.057 Å
α = 90.00°, β = 90.00°, γ = 90.00°
Space group F-43m (No. 216)
Symmetry-distinct sites (fractional):
Pu 0.000 0.000 0.000 [4 per cell]
Ge 0.250 0.250 0.750 [4 per cell]
Bi 0.000 0.000 0.500 [4 per cell]

Summary:
Volume   351.4 Å³/cell
Total magnetization   5.9 μB per formula unit
Crystal system   cubic

***

List of relative energies, unit eV/atom: #1 0.129; #2 0.000

***

#1
Compound: SmGeBi
Source: the Open Quantum Materials Database
Functional: PBE
Structure: relaxed

a = 7.258 Å, b = 7.258 Å, c = 7.258 Å
α = 90.00°, β = 90.00°, γ = 90.00°
Space group F-43m (No. 216)
Symmetry-distinct sites (fractional):
Sm 0.000 0.000 0.000 [4 per cell]
Ge 0.250 0.250 0.250 [4 per cell]
Bi 0.250 0.250 0.750 [4 per cell]

Summary:
Volume   382.3 Å³/cell
Total magnetization   0.0 μB per formula unit
Crystal system   cubic

***

#2
Compound: SmGeBi
Source: the Open Quantum Materials Database
Functional: PBE
Structure: relaxed

a = 7.303 Å, b = 7.303 Å, c = 7.303 Å
α = 90.00°, β = 90.00°, γ = 90.00°
Space group F-43m (No. 216)
Symmetry-distinct sites (fractional):
Sm 0.000 0.000 0.000 [4 per cell]
Ge 0.000 0.000 0.500 [4 per cell]
Bi 0.250 0.250 0.750 [4 per cell]

Summary:
Volume   389.5 Å³/cell
Total magnetization   0.0 μB per formula unit
Crystal system   cubic

***

List of relative energies, unit eV/atom: #1 0.000; #2 0.062

***

#1
Compound: TaGeBi
Source: the Open Quantum Materials Database
Functional: PBE
Structure: relaxed

a = 6.594 Å, b = 6.594 Å, c = 6.594 Å
α = 90.00°, β = 90.00°, γ = 90.00°
Space group F-43m (No. 216)
Symmetry-distinct sites (fractional):
Ta 0.000 0.000 0.000 [4 per cell]
Ge 0.250 0.250 0.750 [4 per cell]
Bi 0.000 0.000 0.500 [4 per cell]

Summary:
Volume   286.7 Å³/cell
Total magnetization   0.0 μB per formula unit
Crystal system   cubic

***

#2
Compound: TaGeBi
Source: the Open Quantum Materials Database
Functional: PBE
Structure: relaxed

a = 6.697 Å, b = 6.697 Å, c = 6.697 Å
α = 90.00°, β = 90.00°, γ = 90.00°
Space group F-43m (No. 216)
Symmetry-distinct sites (fractional):
Ta 0.000 0.000 0.000 [4 per cell]
Ge 0.250 0.250 0.250 [4 per cell]
Bi 0.250 0.250 0.750 [4 per cell]

Summary:
Volume   300.4 Å³/cell
Total magnetization   0.0 μB per formula unit
Crystal system   cubic

***

List of relative energies, unit eV/atom: #1 0.164; #2 0.000

***

#1
Compound: ZnGeBi
Source: the Open Quantum Materials Database
Functional: PBE
Structure: relaxed

a = 6.937 Å, b = 6.937 Å, c = 6.937 Å
α = 90.00°, β = 90.00°, γ = 90.00°
Space group F-43m (No. 216)
Symmetry-distinct sites (fractional):
Zn 0.000 0.000 0.000 [4 per cell]
Ge 0.000 0.000 0.500 [4 per cell]
Bi 0.250 0.250 0.750 [4 per cell]

Summary:
Volume   333.9 Å³/cell
Crystal system   cubic

***

#2
Compound: ZnGeBi
Source: the Open Quantum Materials Database
Functional: PBE
Structure: relaxed

a = 6.805 Å, b = 6.805 Å, c = 6.805 Å
α = 90.00°, β = 90.00°, γ = 90.00°
Space group F-43m (No. 216)
Symmetry-distinct sites (fractional):
Zn 0.000 0.000 0.000 [4 per cell]
Ge 0.250 0.250 0.750 [4 per cell]
Bi 0.000 0.000 0.500 [4 per cell]

Summary:
Volume   315.1 Å³/cell
Crystal system   cubic

***

List of relative energies, unit eV/atom: #1 0.081; #2 0.000

***

#1
Compound: Hf2InBi2
Source: the Open Quantum Materials Database
Functional: PBE
Structure: relaxed

a = 4.449 Å, b = 4.449 Å, c = 13.624 Å
α = 90.00°, β = 90.00°, γ = 90.00°
Space group I4/mmm (No. 139)
Symmetry-distinct sites (fractional):
Hf 0.000 0.000 0.100 [4 per cell]
In 0.000 0.000 0.500 [2 per cell]
Bi 0.000 0.500 0.250 [4 per cell]

Summary:
Volume   269.7 Å³/cell
Total magnetization   0.0 μB per formula unit
Crystal system   tetragonal

***

#2
Compound: Hf2InBi2
Source: the Open Quantum Materials Database
Functional: PBE
Structure: relaxed

a = 4.695 Å, b = 4.695 Å, c = 13.439 Å
α = 90.00°, β = 90.00°, γ = 90.00°
Space group I4/mmm (No. 139)
Symmetry-distinct sites (fractional):
Hf 0.000 0.500 0.250 [4 per cell]
In 0.000 0.000 0.000 [2 per cell]
Bi 0.000 0.000 0.382 [4 per cell]

Summary:
Volume   296.2 Å³/cell
Total magnetization   0.3 μB per formula unit
Crystal system   tetragonal

***

List of relative energies, unit eV/atom: #1 0.100; #2 0.000

***

#1
Compound: Hf3Zr3Bi2Ir
Source: the Open Quantum Materials Database
Functional: PBE
Structure: relaxed

a = 7.9826 Å, b = 7.9826 Å, c = 3.6555 Å
α = 90.00°, β = 90.00°, γ = 120.00°
Space group P-62m (No. 189)
Symmetry-distinct sites (fractional):
Hf 0.0000 0.3909 0.0000 [3 per cell]
Zr 0.0000 0.7514 0.5000 [3 per cell]
Bi 0.3333 0.6667 0.5000 [2 per cell]
Ir 0.0000 0.0000 0.0000 [1 per cell]

Summary:
Volume   201.7 Å³/cell
Total magnetization   0.0 μB per formula unit
Crystal system   hexagonal

***

#2
Compound: Hf3Zr3Bi2Ir
Source: the Open Quantum Materials Database
Functional: PBE
Structure: relaxed

a = 7.9672 Å, b = 7.9672 Å, c = 3.6761 Å
α = 90.00°, β = 90.00°, γ = 120.00°
Space group P-62m (No. 189)
Symmetry-distinct sites (fractional):
Hf 0.0000 0.7568 0.0000 [3 per cell]
Zr 0.0000 0.3958 0.5000 [3 per cell]
Bi 0.3333 0.6667 0.0000 [2 per cell]
Ir 0.0000 0.0000 0.5000 [1 per cell]

Summary:
Volume   202.1 Å³/cell
Total magnetization   0.0 μB per formula unit
Crystal system   hexagonal

***

List of relative energies, unit eV/atom: #1 0.093; #2 0.000

***

#1
Compound: LiHfNiBi
Source: the Open Quantum Materials Database
Functional: PBE
Structure: relaxed

a = 6.662 Å, b = 6.662 Å, c = 6.662 Å
α = 90.00°, β = 90.00°, γ = 90.00°
Space group F-43m (No. 216)
Symmetry-distinct sites (fractional):
Li 0.000 0.000 0.000 [4 per cell]
Hf 0.250 0.250 0.250 [4 per cell]
Ni 0.250 0.250 0.750 [4 per cell]
Bi 0.000 0.000 0.500 [4 per cell]

Summary:
Volume   295.7 Å³/cell
Total magnetization   0.0 μB per formula unit
Crystal system   cubic

***

#2
Compound: LiHfNiBi
Source: the Open Quantum Materials Database
Functional: PBE
Structure: relaxed

a = 6.539 Å, b = 6.539 Å, c = 6.539 Å
α = 90.00°, β = 90.00°, γ = 90.00°
Space group F-43m (No. 216)
Symmetry-distinct sites (fractional):
Li 0.000 0.000 0.000 [4 per cell]
Hf 0.250 0.250 0.750 [4 per cell]
Ni 0.000 0.000 0.500 [4 per cell]
Bi 0.250 0.250 0.250 [4 per cell]

Summary:
Volume   279.5 Å³/cell
Total magnetization   0.0 μB per formula unit
Crystal system   cubic

***

List of relative energies, unit eV/atom: #1 0.246; #2 0.000

***

#1
Compound: HfMgReBi
Source: the Open Quantum Materials Database
Functional: PBE
Structure: relaxed

a = 6.765 Å, b = 6.765 Å, c = 6.765 Å
α = 90.00°, β = 90.00°, γ = 90.00°
Space group F-43m (No. 216)
Symmetry-distinct sites (fractional):
Hf 0.000 0.000 0.000 [4 per cell]
Mg 0.250 0.250 0.250 [4 per cell]
Re 0.250 0.250 0.750 [4 per cell]
Bi 0.000 0.000 0.500 [4 per cell]

Summary:
Volume   309.6 Å³/cell
Total magnetization   0.0 μB per formula unit
Crystal system   cubic

***

#2
Compound: HfMgReBi
Source: the Open Quantum Materials Database
Functional: PBE
Structure: relaxed

a = 6.831 Å, b = 6.831 Å, c = 6.831 Å
α = 90.00°, β = 90.00°, γ = 90.00°
Space group F-43m (No. 216)
Symmetry-distinct sites (fractional):
Hf 0.000 0.000 0.000 [4 per cell]
Mg 0.000 0.000 0.500 [4 per cell]
Re 0.250 0.250 0.750 [4 per cell]
Bi 0.250 0.250 0.250 [4 per cell]

Summary:
Volume   318.7 Å³/cell
Total magnetization   0.0 μB per formula unit
Crystal system   cubic

***

#3
Compound: HfMgReBi
Source: the Open Quantum Materials Database
Functional: PBE
Structure: relaxed

a = 6.798 Å, b = 6.798 Å, c = 6.798 Å
α = 90.00°, β = 90.00°, γ = 90.00°
Space group F-43m (No. 216)
Symmetry-distinct sites (fractional):
Hf 0.000 0.000 0.000 [4 per cell]
Mg 0.250 0.250 0.250 [4 per cell]
Re 0.000 0.000 0.500 [4 per cell]
Bi 0.250 0.250 0.750 [4 per cell]

Summary:
Volume   314.1 Å³/cell
Total magnetization   0.0 μB per formula unit
Crystal system   cubic

***

List of relative energies, unit eV/atom: #1 0.000; #2 0.091; #3 0.247

***

#1
Compound: Tm3Hf3NiBi2
Source: the Open Quantum Materials Database
Functional: PBE
Structure: relaxed

a = 8.1664 Å, b = 8.1664 Å, c = 3.6839 Å
α = 90.00°, β = 90.00°, γ = 120.00°
Space group P-62m (No. 189)
Symmetry-distinct sites (fractional):
Tm 0.0000 0.7561 0.0000 [3 per cell]
Hf 0.0000 0.3947 0.5000 [3 per cell]
Ni 0.0000 0.0000 0.5000 [1 per cell]
Bi 0.3333 0.6667 0.0000 [2 per cell]

Summary:
Volume   212.8 Å³/cell
Total magnetization   0.0 μB per formula unit
Crystal system   hexagonal

***

#2
Compound: Tm3Hf3NiBi2
Source: the Open Quantum Materials Database
Functional: PBE
Structure: relaxed

a = 7.9461 Å, b = 7.9461 Å, c = 3.9989 Å
α = 90.00°, β = 90.00°, γ = 120.00°
Space group P-62m (No. 189)
Symmetry-distinct sites (fractional):
Tm 0.0000 0.3891 0.0000 [3 per cell]
Hf 0.0000 0.7796 0.5000 [3 per cell]
Ni 0.0000 0.0000 0.0000 [1 per cell]
Bi 0.3333 0.6667 0.5000 [2 per cell]

Summary:
Volume   218.7 Å³/cell
Total magnetization   0.4 μB per formula unit
Crystal system   hexagonal

***

List of relative energies, unit eV/atom: #1 0.178; #2 0.000